(1)
VASP calculation (GGA-PBE) on TmScAgRu after structural relaxation.

Summary:
DFT formation energy   -487 meV per atom
Excess energy over the best structure of this formula in the dataset   0.000 eV/atom

Unit cell a=3.302 b=3.302 c=7.269 alpha=90.00 beta=90.00 gamma=90.00
Space group P4mm (No. 99)
Symmetry-distinct sites (fractional):
Tm: 0.000 0.000 0.000 x1
Sc: 0.000 0.000 0.560 x1
Ag: 0.500 0.500 0.296 x1
Ru: 0.500 0.500 0.765 x1



(2)
VASP calculation (GGA-PBE) on TmScAgRu after structural relaxation.

Summary:
DFT formation energy   -407 meV per atom
Excess energy over the best structure of this formula in the dataset   0.080 eV/atom

Unit cell a=6.776 b=6.776 c=6.776 alpha=90.00 beta=90.00 gamma=90.00
Space group F-43m (No. 216)
Symmetry-distinct sites (fractional):
Tm: 0.000 0.000 0.000 x4
Sc: 0.000 0.000 0.500 x4
Ag: 0.250 0.250 0.250 x4
Ru: 0.250 0.250 0.750 x4



(3)
VASP calculation (GGA-PBE) on YScAg2Ru after structural relaxation.

Summary:
DFT formation energy   458 meV per atom

Unit cell a=5.049 b=5.049 c=4.626 alpha=90.00 beta=90.00 gamma=90.00
Space group P4/mmm (No. 123)
Symmetry-distinct sites (fractional):
Y: 0.000 0.000 0.000 x1
Sc: 0.500 0.500 0.500 x1
Ag: 0.000 0.500 0.500 x2
Ru: 0.500 0.500 0.000 x1



(4)
VASP calculation (GGA-PBE) on Sc2ZnAgRu after structural relaxation.

Summary:
DFT formation energy   811 meV per atom

Unit cell a=5.039 b=5.039 c=4.550 alpha=90.00 beta=90.00 gamma=90.00
Space group P4/mmm (No. 123)
Symmetry-distinct sites (fractional):
Sc: 0.000 0.500 0.000 x2
Zn: 0.000 0.000 0.500 x1
Ag: 0.000 0.000 0.000 x1
Ru: 0.500 0.500 0.500 x1



(5)
VASP calculation (GGA-PBE) on Sc2Zn5AgRu2 after structural relaxation.

Summary:
DFT formation energy   -218 meV per atom

Unit cell a=8.938 b=8.938 c=4.193 alpha=90.00 beta=90.00 gamma=90.00
Space group P4/mbm (No. 127)
Symmetry-distinct sites (fractional):
Sc: 0.170 0.330 0.000 x4
Zn: 0.000 0.500 0.500 x2
Zn: 0.067 0.794 0.500 x8
Ag: 0.000 0.000 0.000 x2
Ru: 0.127 0.627 0.000 x4



(6)
VASP calculation (GGA-PBE) on ZrScAgRu after structural relaxation.

Summary:
DFT formation energy   -405 meV per atom
Excess energy over the best structure of this formula in the dataset   0.000 eV/atom

Unit cell a=3.192 b=3.192 c=7.421 alpha=90.00 beta=90.00 gamma=90.00
Space group P4mm (No. 99)
Symmetry-distinct sites (fractional):
Zr: 0.000 0.000 0.000 x1
Sc: 0.000 0.000 0.560 x1
Ag: 0.500 0.500 0.288 x1
Ru: 0.500 0.500 0.779 x1



(7)
VASP calculation (GGA-PBE) on ZrScAgRu after structural relaxation.

Summary:
DFT formation energy   -340 meV per atom
Excess energy over the best structure of this formula in the dataset   0.066 eV/atom

Unit cell a=6.676 b=6.676 c=6.676 alpha=90.00 beta=90.00 gamma=90.00
Space group F-43m (No. 216)
Symmetry-distinct sites (fractional):
Zr: 0.000 0.000 0.000 x4
Sc: 0.000 0.000 0.500 x4
Ag: 0.250 0.250 0.250 x4
Ru: 0.250 0.250 0.750 x4



(8)
VASP calculation (GGA-PBE) on Ag2RuSe after structural relaxation.

Summary:
ΔE_f (raw)   437 meV/atom

Unit cell a=3.127 b=4.469 c=4.934 alpha=90.00 beta=90.00 gamma=90.00
Space group Pmmm (No. 47)
Symmetry-distinct sites (fractional):
Ag: 0.000 0.000 0.000 x1
Ag: 0.500 0.500 0.000 x1
Ru: 0.000 0.500 0.500 x1
Se: 0.500 0.000 0.500 x1



(9)
VASP calculation (GGA-PBE) on AgRu2Se after structural relaxation.

Summary:
ΔE_f (raw)   419 meV/atom

Unit cell a=10.221 b=2.913 c=4.966 alpha=90.00 beta=115.59 gamma=90.00
Space group Cm (No. 8)
Symmetry-distinct sites (fractional):
Ag: 0.000 0.000 0.000 x2
Ru: 0.259 0.500 0.408 x2
Ru: 0.486 0.000 0.476 x2
Se: 0.205 0.000 0.745 x2



(10)
VASP calculation (GGA-PBE) on Ag2RuSe after structural relaxation.

Summary:
ΔE_f (raw)   297 meV/atom

Unit cell a=4.136 b=3.064 c=11.153 alpha=90.00 beta=90.00 gamma=90.00
Space group Amm2 (No. 38)
Symmetry-distinct sites (fractional):
Ag: 0.000 0.000 0.000 x2
Ag: 0.500 0.000 0.372 x2
Ru: 0.500 0.000 0.629 x2
Se: 0.000 0.000 0.732 x2



(11)
VASP calculation (GGA-PBE) on Ag2RuSe after structural relaxation.

Summary:
ΔE_f (raw)   514 meV/atom

Unit cell a=6.492 b=6.492 c=6.492 alpha=90.00 beta=90.00 gamma=90.00
Space group F-43m (No. 216)
Symmetry-distinct sites (fractional):
Ag: 0.000 0.000 0.000 x4
Ag: 0.250 0.250 0.250 x4
Ru: 0.250 0.250 0.750 x4
Se: 0.000 0.000 0.500 x4



(12)
VASP calculation (GGA-PBE) on AgRu2Se after structural relaxation.

Summary:
ΔE_f (raw)   651 meV/atom

Unit cell a=2.965 b=4.979 c=8.754 alpha=90.00 beta=90.00 gamma=90.00
Space group Cmmm (No. 65)
Symmetry-distinct sites (fractional):
Ag: 0.000 0.000 0.000 x2
Ru: 0.000 0.500 0.276 x4
Se: 0.000 0.000 0.500 x2



(13)
VASP calculation (GGA-PBE) on AgRu2Se after structural relaxation.

Summary:
ΔE_f (raw)   581 meV/atom

Unit cell a=7.133 b=7.133 c=5.340 alpha=90.00 beta=90.00 gamma=90.00
Space group I-42d (No. 122)
Symmetry-distinct sites (fractional):
Ag: 0.000 0.000 0.000 x4
Ru: 0.192 0.250 0.625 x8
Se: 0.000 0.000 0.500 x4



(14)
VASP calculation (GGA-PBE) on AgRu4Se after structural relaxation.

Summary:
ΔE_f (raw)   792 meV/atom

Unit cell a=7.327 b=7.327 c=7.327 alpha=90.00 beta=90.00 gamma=90.00
Space group F-43m (No. 216)
Symmetry-distinct sites (fractional):
Ag: 0.000 0.000 0.000 x4
Ru: 0.125 0.125 0.625 x16
Se: 0.250 0.250 0.250 x4



(15)
VASP calculation (GGA-PBE) on AgRu2Se after structural relaxation.

Summary:
ΔE_f (raw)   515 meV/atom

Unit cell a=2.875 b=4.814 c=9.684 alpha=90.00 beta=90.00 gamma=90.00
Space group Cmm2 (No. 35)
Symmetry-distinct sites (fractional):
Ag: 0.000 0.000 0.000 x2
Ru: 0.000 0.000 0.525 x2
Ru: 0.000 0.500 0.746 x2
Se: 0.000 0.500 0.301 x2



(16)
VASP calculation (GGA-PBE) on AgRu2Se after structural relaxation.

Summary:
ΔE_f (raw)   269 meV/atom

Unit cell a=2.802 b=2.830 c=8.639 alpha=90.00 beta=90.05 gamma=90.00
Space group Pm (No. 6)
Symmetry-distinct sites (fractional):
Ag: 0.000 0.000 0.000 x1
Ru: 0.002 0.000 0.437 x1
Ru: 0.501 0.500 0.247 x1
Se: 0.004 0.500 0.690 x1



(17)
VASP calculation (GGA-PBE) on Ag2RuSe after structural relaxation.

Summary:
ΔE_f (raw)   476 meV/atom

Unit cell a=3.822 b=3.822 c=4.724 alpha=90.00 beta=90.00 gamma=90.00
Space group P4/mmm (No. 123)
Symmetry-distinct sites (fractional):
Ag: 0.000 0.500 0.000 x2
Ru: 0.000 0.000 0.500 x1
Se: 0.500 0.500 0.500 x1



(18)
VASP calculation (GGA-PBE) on Ag2RuSe after structural relaxation.

Summary:
ΔE_f (raw)   592 meV/atom

Unit cell a=7.635 b=7.635 c=5.184 alpha=90.00 beta=90.00 gamma=90.00
Space group I-42d (No. 122)
Symmetry-distinct sites (fractional):
Ag: 0.236 0.250 0.125 x8
Ru: 0.000 0.000 0.500 x4
Se: 0.000 0.000 0.000 x4



(19)
VASP calculation (GGA-PBE) on Ag2RuSe after structural relaxation.

Summary:
ΔE_f (raw)   426 meV/atom

Unit cell a=3.075 b=4.518 c=9.912 alpha=90.00 beta=90.00 gamma=90.00
Space group Immm (No. 71)
Symmetry-distinct sites (fractional):
Ag: 0.000 0.000 0.245 x4
Ru: 0.000 0.500 0.000 x2
Se: 0.000 0.500 0.500 x2



(20)
VASP calculation (GGA-PBE) on AgRu2Se after structural relaxation.

Summary:
ΔE_f (raw)   712 meV/atom

Unit cell a=5.589 b=9.234 c=2.814 alpha=90.00 beta=118.45 gamma=90.00
Space group C2/m (No. 12)
Symmetry-distinct sites (fractional):
Ag: 0.000 0.000 0.000 x2
Ru: 0.250 0.250 0.500 x4
Se: 0.000 0.500 0.000 x2



(21)
VASP calculation (GGA-PBE) on Ag2RuSe after structural relaxation.

Summary:
ΔE_f (raw)   343 meV/atom

Unit cell a=3.003 b=4.966 c=9.829 alpha=90.00 beta=90.00 gamma=90.00
Space group Cmm2 (No. 35)
Symmetry-distinct sites (fractional):
Ag: 0.000 0.000 0.000 x2
Ag: 0.000 0.500 0.249 x2
Ru: 0.000 0.000 0.494 x2
Se: 0.000 0.500 0.686 x2



(22)
VASP calculation (GGA-PBE) on AgRu2Se after structural relaxation.

Summary:
ΔE_f (raw)   409 meV/atom

Unit cell a=7.691 b=2.968 c=5.819 alpha=90.00 beta=99.93 gamma=90.00
Space group C2/m (No. 12)
Symmetry-distinct sites (fractional):
Ag: 0.000 0.000 0.000 x2
Ru: 0.244 0.000 0.699 x4
Se: 0.000 0.500 0.500 x2



(23)
VASP calculation (GGA-PBE) on Ag2RuSe after structural relaxation.

Summary:
ΔE_f (raw)   484 meV/atom

Unit cell a=3.277 b=4.526 c=9.691 alpha=90.00 beta=90.00 gamma=90.00
Space group Cmmm (No. 65)
Symmetry-distinct sites (fractional):
Ag: 0.000 0.000 0.235 x4
Ru: 0.000 0.500 0.000 x2
Se: 0.000 0.500 0.500 x2



(24)
VASP calculation (GGA-PBE) on Ag2RuSe after structural relaxation.

Summary:
ΔE_f (raw)   495 meV/atom

Unit cell a=3.795 b=3.795 c=9.637 alpha=90.00 beta=90.00 gamma=90.00
Space group I4/mmm (No. 139)
Symmetry-distinct sites (fractional):
Ag: 0.000 0.500 0.250 x4
Ru: 0.000 0.000 0.000 x2
Se: 0.000 0.000 0.500 x2



(25)
VASP calculation (GGA-PBE) on Ag2RuSe after structural relaxation.

Summary:
ΔE_f (raw)   475 meV/atom

Unit cell a=2.8640 b=2.8640 c=29.9672 alpha=90.00 beta=90.00 gamma=120.00
Space group R-3m (No. 166, hexagonal axes)
Symmetry-distinct sites (fractional):
Ag: 0.0000 0.0000 0.2446 x6
Ru: 0.0000 0.0000 0.5000 x3
Se: 0.0000 0.0000 0.0000 x3



(26)
VASP calculation (GGA-PBE) on AgRu2Se after structural relaxation.

Summary:
ΔE_f (raw)   585 meV/atom

Unit cell a=6.265 b=6.274 c=3.143 alpha=90.00 beta=90.00 gamma=90.00
Space group Cmmm (No. 65)
Symmetry-distinct sites (fractional):
Ag: 0.000 0.000 0.000 x2
Ru: 0.250 0.250 0.500 x4
Se: 0.000 0.500 0.000 x2



(27)
VASP calculation (GGA-PBE) on AgRu2Se after structural relaxation.

Summary:
ΔE_f (raw)   314 meV/atom

Unit cell a=2.8697 b=2.8697 c=27.3715 alpha=90.00 beta=90.00 gamma=120.00
Space group R3m (No. 160, hexagonal axes)
Symmetry-distinct sites (fractional):
Ag: 0.0000 0.0000 0.0000 x3
Ru: 0.0000 0.0000 0.4949 x3
Ru: 0.0000 0.0000 0.7539 x3
Se: 0.0000 0.0000 0.2344 x3



(28)
VASP calculation (GGA-PBE) on Ag2RuSe after structural relaxation.

Summary:
ΔE_f (raw)   309 meV/atom

Unit cell a=8.245 b=3.123 c=5.721 alpha=90.00 beta=99.38 gamma=90.00
Space group Cm (No. 8)
Symmetry-distinct sites (fractional):
Ag: 0.000 0.000 0.000 x2
Ag: 0.247 0.000 0.743 x2
Ru: 0.248 0.500 0.294 x2
Se: 0.470 0.000 0.423 x2



(29)
VASP calculation (GGA-PBE) on AgRu3Se after structural relaxation.

Summary:
ΔE_f (raw)   1007 meV/atom
Excess energy over the best structure of this formula in the dataset   0.000 eV/atom

Unit cell a=4.542 b=4.542 c=4.542 alpha=90.00 beta=90.00 gamma=90.00
Space group Pm-3m (No. 221)
Symmetry-distinct sites (fractional):
Ag: 0.000 0.000 0.000 x1
Ru: 0.000 0.500 0.500 x3
Se: 0.500 0.500 0.500 x1



| no. | D(E_F) (states/eV per cell) | total energy (eV per atom) | volume (Å³/atom) |
| --- | --- | --- | --- |
| 1 | 2.2 | -6.220 | 19.8 |
| 2 | 7.2 | -6.140 | 19.4 |
| 3 | 3.6 | -5.097 | 23.6 |
| 4 | 3.7 | -4.402 | 23.1 |
| 5 | 9.7 | -4.262 | 16.7 |
| 6 | 3.1 | -7.157 | 18.9 |
| 7 | 13.4 | -7.092 | 18.6 |
| 8 | 3.3 | -4.179 | 17.2 |
| 9 | 7.9 | -5.802 | 16.7 |
| 10 | 5.9 | -4.319 | 17.7 |
| 11 | 17.5 | -4.102 | 17.1 |
| 12 | 10.1 | -5.570 | 16.2 |
| 13 | 16.3 | -5.641 | 17.0 |
| 14 | 30.3 | -6.448 | 16.4 |
| 15 | 8.9 | -5.707 | 16.8 |
| 16 | 3.5 | -5.952 | 17.1 |
| 17 | 4.4 | -4.139 | 17.3 |
| 18 | 12.7 | -4.024 | 18.9 |
| 19 | 6.6 | -4.190 | 17.2 |
| 20 | 11.6 | -5.510 | 16.0 |
| 21 | 6.4 | -4.272 | 18.3 |
| 22 | 5.1 | -5.813 | 16.4 |
| 23 | 4.8 | -4.131 | 18.0 |
| 24 | 9.3 | -4.121 | 17.3 |
| 25 | 9.5 | -4.141 | 17.7 |
| 26 | 11.4 | -5.637 | 15.4 |
| 27 | 9.9 | -5.908 | 16.3 |
| 28 | 5.3 | -4.307 | 18.2 |
| 29 | 4.2 | -5.825 | 18.7 |